No. 1
# Si4Mo2W PBE-GGA relaxed
# * total magnetization: 0.0 μB/f.u.
# * uncorrected formation energy: 5.156 eV per formula unit
data_Si4Mo2W
_chemical_formula_sum 'Si8 Mo4 W2'
_symmetry_space_group_name_H-M 'I 4/m m m'
_symmetry_Int_Tables_number 139
_symmetry_space_group_name_Hall '-I 4 2'
_cell_length_a 4.626
_cell_length_b 4.626
_cell_length_c 12.392
_cell_angle_alpha 90.00
_cell_angle_beta 90.00
_cell_angle_gamma 90.00
loop_
_atom_site_label
_atom_site_fract_x
_atom_site_fract_y
_atom_site_fract_z
Si1 0.000 0.000 0.201
Si2 0.000 0.500 0.000
Mo1 0.000 0.000 0.400
W1 0.000 0.000 0.000

***

No. 2
# SbW3 PBE-GGA relaxed
# * ΔE to the lowest computed polymorph: 0.31 eV/f.u.
# * total magnetization: 0.0 μB/f.u.
# * uncorrected formation energy: 2.224 eV per formula unit
data_SbW3
_chemical_formula_sum 'Sb1 W3'
_symmetry_space_group_name_H-M 'P m m m'
_symmetry_Int_Tables_number 47
_symmetry_space_group_name_Hall '-P 2 2'
_cell_length_a 3.017
_cell_length_b 4.240
_cell_length_c 5.436
_cell_angle_alpha 90.00
_cell_angle_beta 90.00
_cell_angle_gamma 90.00
loop_
_atom_site_label
_atom_site_fract_x
_atom_site_fract_y
_atom_site_fract_z
Sb1 0.000 0.000 0.000
W1 0.000 0.000 0.500
W2 0.500 0.500 0.261

***

No. 3
# Pr6S2BrN3 PBE-GGA relaxed
# * total magnetization: 0.0 μB/f.u.
# * uncorrected formation energy: -18.879 eV per formula unit
data_Pr6S2BrN3
_chemical_formula_sum 'Pr12 S4 Br2 N6'
_symmetry_space_group_name_H-M 'C 1 2/m 1'
_symmetry_Int_Tables_number 12
_symmetry_space_group_name_Hall '-C 2y'
_cell_length_a 17.522
_cell_length_b 3.809
_cell_length_c 8.126
_cell_angle_alpha 90.00
_cell_angle_beta 108.39
_cell_angle_gamma 90.00
loop_
_atom_site_label
_atom_site_fract_x
_atom_site_fract_y
_atom_site_fract_z
Pr1 0.012 0.000 0.213
Pr2 0.160 0.500 0.104
Pr3 0.181 0.500 0.561
S1 0.163 0.000 0.826
Br1 0.000 0.500 0.500
N1 0.000 0.500 0.000
N2 0.168 0.000 0.331